Entry from Alexandria: a geometry-optimized ScNi2SbO6 structure (GGA+U).

Unit cell a=5.2269 b=5.2269 c=14.1765 alpha=90.00 beta=90.00 gamma=120.00
With the nearest neighbours (Å) after each atom.
Space group R3 (No. 146, hexagonal axes)
Inequivalent atoms, fractional coordinates:
Sc 0.0000 0.0000 0.0000 [3 per cell]  6 O 2.06-2.21
Ni 0.0000 0.0000 0.2904 [3 per cell]  6 O 2.07-2.18
Ni 0.0000 0.0000 0.7952 [3 per cell]  6 O 2.06-2.14
Sb 0.0000 0.0000 0.4930 [3 per cell]  6 O 1.99-2.05
O 0.0311 0.3485 0.5608 [9 per cell]  1 Sb 1.99, 2 Ni 2.07-2.14, 1 Sc 2.21
O 0.0377 0.6680 0.0652 [9 per cell]  1 Sb 2.05, 2 Ni 2.06-2.18, 1 Sc 2.06

Calculated values
Theoretical density (g/cm3): 5.64
Total DFT energy (no corrections) (eV per atom): -6.3802